No. 1
DFT (PBE) results for crystalline KTcSe at its relaxed geometry.

Cell lengths 3.4022, 3.4022, 7.0708 Å; angles 90.00, 90.00, 120.00 degrees
Space group P3m1 (No. 156)
Unique sites:
K  0.0000  0.0000  0.0000 [1 per cell]
Tc  0.3333  0.6667  0.5822 [1 per cell]
Se  0.6667  0.3333  0.3768 [1 per cell]

ΔE_f (raw) in eV/atom: 0.25
Relative energy among the computed polymorphs in eV/f.u.: 0.52
E_tot in eV/atom: -4.74

No. 2
DFT (PBE) results for crystalline KTc2Se3 at its relaxed geometry.

Cell lengths 25.693, 3.585, 6.841 Å; angles 90.00, 102.18, 90.00 degrees
Space group C2/m (No. 12)
Unique sites:
K  0.134  0.000  0.461 [4 per cell]
Tc  0.054  0.500  0.975 [4 per cell]
Tc  0.213  0.000  0.005 [4 per cell]
Se  0.025  0.500  0.283 [4 per cell]
Se  0.115  0.000  0.952 [4 per cell]
Se  0.235  0.500  0.258 [4 per cell]

ΔE_f (raw) in eV/atom: -0.32
E_tot in eV/atom: -5.70

No. 3
DFT (PBE) results for crystalline K2Tc3Se6 at its relaxed geometry.

Cell lengths 17.450, 10.213, 12.504 Å; angles 90.00, 91.65, 90.00 degrees
Space group C2/c (No. 15)
Unique sites:
K  0.000  0.104  0.250 [4 per cell]
K  0.000  0.284  0.750 [4 per cell]
K  0.115  0.262  0.017 [8 per cell]
Tc  0.160  0.344  0.474 [8 per cell]
Tc  0.209  0.109  0.419 [8 per cell]
Tc  0.209  0.179  0.625 [8 per cell]
Se  0.032  0.465  0.419 [8 per cell]
Se  0.085  0.137  0.518 [8 per cell]
Se  0.148  0.086  0.804 [8 per cell]
Se  0.164  0.408  0.669 [8 per cell]
Se  0.165  0.277  0.280 [8 per cell]
Se  0.243  0.459  0.932 [8 per cell]

ΔE_f (raw) in eV/atom: -0.75
E_tot in eV/atom: -5.68

No. 4
DFT (PBE) results for crystalline K3TcSe at its relaxed geometry.

Cell lengths 6.256, 6.256, 6.256 Å; angles 90.00, 90.00, 90.00 degrees
Space group Pm-3m (No. 221)
Unique sites:
K  0.000  0.000  0.500 [3 per cell]
Tc  0.500  0.500  0.500 [1 per cell]
Se  0.000  0.000  0.000 [1 per cell]

ΔE_f (raw) in eV/atom: 0.45
Relative energy among the computed polymorphs in eV/f.u.: 0.00
E_tot in eV/atom: -2.97

No. 5
DFT (PBE) results for crystalline KTc2Se at its relaxed geometry.

Cell lengths 3.0320, 3.0320, 28.7596 Å; angles 90.00, 90.00, 120.00 degrees
Space group R-3m (No. 166, hexagonal axes)
Unique sites:
K  0.0000  0.0000  0.0000 [3 per cell]
Tc  0.0000  0.0000  0.2296 [6 per cell]
Se  0.0000  0.0000  0.5000 [3 per cell]

ΔE_f (raw) in eV/atom: 0.78
E_tot in eV/atom: -5.54

No. 6
DFT (PBE) results for crystalline KTc2Se at its relaxed geometry.

Cell lengths 3.126, 3.126, 8.541 Å; angles 90.00, 90.00, 90.00 degrees
Space group P4/mmm (No. 123)
Unique sites:
K  0.000  0.000  0.000 [1 per cell]
Tc  0.500  0.500  0.344 [2 per cell]
Se  0.000  0.000  0.500 [1 per cell]

ΔE_f (raw) in eV/atom: 0.88
E_tot in eV/atom: -5.45

No. 7
DFT (PBE) results for crystalline KTc2Se at its relaxed geometry.

Cell lengths 3.236, 4.058, 7.029 Å; angles 90.00, 91.57, 90.00 degrees
Space group Pm (No. 6)
Unique sites:
K  0.000  0.000  0.000 [1 per cell]
Tc  0.038  0.500  0.572 [1 per cell]
Tc  0.486  0.000  0.555 [1 per cell]
Se  0.520  0.500  0.303 [1 per cell]

ΔE_f (raw) in eV/atom: 0.31
E_tot in eV/atom: -6.02

No. 8
DFT (PBE) results for crystalline KTc2Se at its relaxed geometry.

Cell lengths 3.891, 3.891, 10.003 Å; angles 90.00, 90.00, 90.00 degrees
Space group I4/mmm (No. 139)
Unique sites:
K  0.000  0.000  0.000 [2 per cell]
Tc  0.000  0.500  0.250 [4 per cell]
Se  0.000  0.000  0.500 [2 per cell]

ΔE_f (raw) in eV/atom: 1.16
E_tot in eV/atom: -5.17

No. 9
DFT (PBE) results for crystalline KTl2TcSe at its relaxed geometry.

Cell lengths 5.492, 5.492, 4.879 Å; angles 90.00, 90.00, 90.00 degrees
Space group P4/mmm (No. 123)
Unique sites:
K  0.000  0.000  0.000 [1 per cell]
Tl  0.000  0.500  0.500 [2 per cell]
Tc  0.500  0.500  0.500 [1 per cell]
Se  0.500  0.500  0.000 [1 per cell]

ΔE_f (raw) in eV/atom: 0.01
E_tot in eV/atom: -3.92

No. 10
DFT (PBE) results for crystalline KVTcSe2 at its relaxed geometry.

Cell lengths 5.402, 5.402, 4.533 Å; angles 90.00, 90.00, 90.00 degrees
Space group P4/mmm (No. 123)
Unique sites:
K  0.000  0.000  0.000 [1 per cell]
V  0.500  0.500  0.500 [1 per cell]
Tc  0.000  0.000  0.500 [1 per cell]
Se  0.000  0.500  0.000 [2 per cell]

ΔE_f (raw) in eV/atom: 2.30
E_tot in eV/atom: -3.21

No. 11
DFT (PBE) results for crystalline K2ZrTcSe at its relaxed geometry.

Cell lengths 6.000, 6.000, 4.678 Å; angles 90.00, 90.00, 90.00 degrees
Space group P4/mmm (No. 123)
Unique sites:
K  0.000  0.500  0.000 [2 per cell]
Zr  0.000  0.000  0.500 [1 per cell]
Tc  0.500  0.500  0.500 [1 per cell]
Se  0.500  0.500  0.000 [1 per cell]

ΔE_f (raw) in eV/atom: 1.03
E_tot in eV/atom: -3.89

No. 12
DFT (PBE) results for crystalline KTe2Se3 at its relaxed geometry.

Cell lengths 11.801, 11.628, 7.791 Å; angles 90.00, 90.00, 90.00 degrees
Space group Cmcm (No. 63)
Unique sites:
K  0.000  0.226  0.250 [4 per cell]
Te  0.181  0.500  0.000 [8 per cell]
Se  0.000  0.492  0.750 [4 per cell]
Se  0.160  0.010  0.750 [8 per cell]

ΔE_f (raw) in eV/atom: -0.28
E_tot in eV/atom: -3.25

No. 13
DFT (PBE) results for crystalline K3TeSe at its relaxed geometry.

Cell lengths 6.184, 6.184, 6.184 Å; angles 90.00, 90.00, 90.00 degrees
Space group Pm-3m (No. 221)
Unique sites:
K  0.000  0.000  0.500 [3 per cell]
Te  0.500  0.500  0.500 [1 per cell]
Se  0.000  0.000  0.000 [1 per cell]

ΔE_f (raw) in eV/atom: -0.75
Relative energy among the computed polymorphs in eV/f.u.: 0.75
E_tot in eV/atom: -2.73

No. 14
DFT (PBE) results for crystalline KTeSe2 at its relaxed geometry.

Cell lengths 4.768, 4.755, 6.361 Å; angles 90.00, 102.13, 90.00 degrees
Space group Pm (No. 6)
Unique sites:
K  0.000  0.000  0.000 [1 per cell]
Te  0.400  0.500  0.534 [1 per cell]
Se  0.487  0.500  0.936 [1 per cell]
Se  0.638  0.000  0.461 [1 per cell]

ΔE_f (raw) in eV/atom: -0.51
E_tot in eV/atom: -3.31

No. 15
DFT (PBE) results for crystalline KTeSe2 at its relaxed geometry.

Cell lengths 4.012, 5.447, 6.605 Å; angles 90.00, 102.14, 90.00 degrees
Space group Pm (No. 6)
Unique sites:
K  0.000  0.000  0.000 [1 per cell]
Te  0.139  0.500  0.406 [1 per cell]
Se  0.513  0.500  0.079 [1 per cell]
Se  0.730  0.500  0.710 [1 per cell]

ΔE_f (raw) in eV/atom: -0.46
E_tot in eV/atom: -3.26

No. 16
DFT (PBE) results for crystalline K3TeSe at its relaxed geometry.

Cell lengths 5.240, 9.399, 7.467 Å; angles 90.00, 90.00, 90.00 degrees
Space group Pmmn (No. 59, origin choice 2)
Unique sites:
K  0.250  0.056  0.234 [4 per cell]
K  0.250  0.250  0.749 [2 per cell]
Te  0.250  0.750  0.545 [2 per cell]
Se  0.250  0.750  0.985 [2 per cell]

ΔE_f (raw) in eV/atom: -0.90
Relative energy among the computed polymorphs in eV/f.u.: 0.00
E_tot in eV/atom: -2.88

No. 17
DFT (PBE) results for crystalline K6Te2Se at its relaxed geometry.

Cell lengths 5.691, 8.078, 17.044 Å; angles 90.00, 90.00, 90.00 degrees
Space group Immm (No. 71)
Unique sites:
K  0.000  0.236  0.000 [4 per cell]
K  0.000  0.257  0.339 [8 per cell]
Te  0.000  0.500  0.165 [4 per cell]
Se  0.000  0.500  0.500 [2 per cell]

ΔE_f (raw) in eV/atom: -1.05
E_tot in eV/atom: -2.87

No. 18
DFT (PBE) results for crystalline K2Te2Se at its relaxed geometry.

Cell lengths 8.162, 8.162, 5.271 Å; angles 90.00, 90.00, 90.00 degrees
Space group P4/mbm (No. 127)
Unique sites:
K  0.180  0.320  0.000 [4 per cell]
Te  0.124  0.624  0.500 [4 per cell]
Se  0.000  0.000  0.500 [2 per cell]

ΔE_f (raw) in eV/atom: -0.60
Relative energy among the computed polymorphs in eV/f.u.: 0.00
E_tot in eV/atom: -2.99

No. 19
DFT (PBE) results for crystalline KTeSe2 at its relaxed geometry.

Cell lengths 8.686, 8.668, 3.072 Å; angles 90.00, 97.04, 90.00 degrees
Space group C2/m (No. 12)
Unique sites:
K  0.000  0.000  0.000 [2 per cell]
Te  0.000  0.500  0.000 [2 per cell]
Se  0.250  0.250  0.000 [4 per cell]

ΔE_f (raw) in eV/atom: -0.29
E_tot in eV/atom: -3.09

No. 20
DFT (PBE) results for crystalline KTeSe2 at its relaxed geometry.

Cell lengths 7.428, 4.592, 7.736 Å; angles 90.00, 107.89, 90.00 degrees
Space group C2/m (No. 12)
Unique sites:
K  0.000  0.000  0.000 [2 per cell]
Te  0.000  0.500  0.500 [2 per cell]
Se  0.248  0.000  0.701 [4 per cell]

ΔE_f (raw) in eV/atom: -0.42
E_tot in eV/atom: -3.22